1.
{
  "formula": "Np2PH4",
  "functional": "PBE-GGA",
  "state": "optimized geometry",
  "dos_at_fermi_per_ev_cell": 9.19,
  "total_energy_ev_per_cell": -47.66,
  "sg": "No. 166",
  "m_tot_mub_per_fu": 7.00,
  "lattice_angstrom": [[3.6024, 0.0000, 0.9593], [1.6735, 3.1901, 0.9593], [0.0200, 0.0121, 7.1688]],
  "species": ["P", "Np", "H", "Np", "H", "H", "H"],
  "fractional_positions": [[0.0000, 0.0000, 0.0000], [0.2464, 0.2464, 0.2608], [0.8653, 0.8653, 0.4042], [0.7536, 0.7536, 0.7392], [0.1347, 0.1347, 0.5958], [0.5633, 0.5633, 0.3101], [0.4367, 0.4367, 0.6899]]
}

=====

2.
{
  "formula": "Ta4VW3",
  "functional": "PBE-GGA",
  "state": "optimized geometry",
  "formation_enthalpy_0k_mev_per_atom": -73,
  "dos_at_fermi_per_ev_cell": 8.74,
  "total_energy_ev_per_cell": -95.97,
  "sg": "No. 47",
  "m_tot_mub_per_fu": 0.01,
  "lattice_angstrom": [[-1.7669, 1.2565, 2.3969], [-3.7038, -0.1192, -2.6679], [-1.8941, -8.3951, 3.0047]],
  "species": ["Ta", "V", "Ta", "W", "W", "W", "Ta", "Ta"],
  "fractional_positions": [[0.0000, 0.5000, 0.7525], [0.5000, 0.5000, 0.0000], [0.0000, 0.0000, 0.5000], [0.5000, 0.0000, 0.2464], [0.5000, 0.0000, 0.7536], [0.5000, 0.5000, 0.5000], [0.0000, 0.0000, 0.0000], [0.0000, 0.5000, 0.2475]]
}

=====

3.
{
  "formula": "ZnTc3Bi",
  "functional": "PBE-GGA",
  "state": "optimized geometry",
  "formation_enthalpy_0k_mev_per_atom": 2304,
  "dos_at_fermi_per_ev_cell": 5.45,
  "total_energy_ev_per_cell": -24.73,
  "sg": "No. 221",
  "polymorph_energy_mev_per_atom": 853,
  "m_tot_mub_per_fu": 6.00,
  "lattice_angstrom": [[5.0390, 0.0000, 0.0000], [0.0000, 5.0390, 0.0000], [0.0000, 0.0000, 5.0390]],
  "species": ["Zn", "Tc", "Bi", "Tc", "Tc"],
  "fractional_positions": [[0.5000, 0.5000, 0.5000], [0.5000, 0.0000, 0.0000], [0.0000, 0.0000, 0.0000], [0.0000, 0.0000, 0.5000], [0.0000, 0.5000, 0.0000]]
}

=====

4.
{
  "formula": "SrDy2IrO8",
  "functional": "PBE-GGA",
  "state": "optimized geometry",
  "dos_at_fermi_per_ev_cell": 5.92,
  "total_energy_ev_per_cell": -84.29,
  "sg": "No. 10",
  "m_tot_mub_per_fu": 0.92,
  "lattice_angstrom": [[5.0799, 0.0140, -0.0032], [0.0413, 5.0690, -0.0054], [0.0044, 0.0076, 7.0342]],
  "species": ["O", "O", "O", "O", "O", "Dy", "Sr", "O", "Ir", "O", "O", "Dy"],
  "fractional_positions": [[0.2683, 0.2657, 0.0000], [0.8143, 0.1884, 0.1917], [0.6752, 0.6784, 0.5000], [0.8143, 0.1885, 0.8083], [0.1857, 0.8115, 0.1917], [0.5000, 0.5000, 0.2522], [0.0000, 0.0000, 0.5000], [0.1857, 0.8116, 0.8083], [0.0000, 0.0000, 0.0000], [0.3248, 0.3216, 0.5000], [0.7317, 0.7343, 0.0000], [0.5000, 0.5000, 0.7478]]
}

=====

5.
{
  "formula": "K6Rb4Na5",
  "functional": "PBE-GGA",
  "state": "optimized geometry",
  "formation_enthalpy_0k_mev_per_atom": 26,
  "dos_at_fermi_per_ev_cell": 16.76,
  "total_energy_ev_per_cell": -33.33,
  "sg": "No. 36",
  "m_tot_mub_per_fu": 0.00,
  "lattice_angstrom": [[3.2892, -13.2893, 0.0000], [3.2892, 13.2893, 0.0000], [0.0000, 0.0000, 22.2795]],
  "species": ["K", "Rb", "Na", "Rb", "K", "K", "Rb", "Rb", "K", "Na", "K", "Na", "Na", "K", "Rb", "Na", "K", "Na", "Na", "Na", "Rb", "Na", "K", "Rb", "Rb", "K", "K", "K", "Na", "K"],
  "fractional_positions": [[0.3486, 0.6514, 0.3359], [0.8122, 0.1878, 0.1914], [0.7518, 0.2482, 0.5899], [0.1202, 0.8798, 0.9888], [0.6514, 0.3486, 0.8359], [0.5000, 0.5000, 0.9770], [0.8798, 0.1202, 0.4888], [0.0097, 0.9903, 0.8254], [0.1773, 0.8227, 0.2605], [0.4110, 0.5890, 0.8240], [0.8227, 0.1773, 0.7605], [0.5296, 0.4704, 0.7200], [0.4704, 0.5296, 0.2200], [0.2707, 0.7293, 0.8977], [0.9903, 0.0097, 0.3254], [0.5890, 0.4110, 0.3240], [0.6186, 0.3814, 0.1436], [0.7213, 0.2787, 0.0102], [0.6170, 0.3830, 0.5987], [0.3830, 0.6170, 0.0987], [0.8722, 0.1278, 0.9699], [0.2482, 0.7518, 0.0899], [0.3814, 0.6186, 0.6436], [0.1878, 0.8122, 0.6914], [0.1278, 0.8722, 0.4699], [0.7293, 0.2707, 0.3977], [0.0099, 0.9901, 0.6223], [0.5000, 0.5000, 0.4770], [0.2787, 0.7213, 0.5102], [0.9901, 0.0099, 0.1223]]
}

=====

6.
{
  "formula": "SiSnH",
  "functional": "PBE-GGA",
  "state": "optimized geometry",
  "dos_at_fermi_per_ev_cell": 4.15,
  "total_energy_ev_per_cell": -71.01,
  "sg": "No. 9",
  "m_tot_mub_per_fu": 0.00,
  "lattice_angstrom": [[-3.1713, 3.4690, 3.0158], [1.3351, -1.6132, 8.4299], [3.7254, 7.1446, 0.8697]],
  "species": ["Sn", "Si", "Sn", "Si", "H", "Sn", "H", "H", "Sn", "Sn", "Si", "Sn", "Si", "Si", "H", "H", "Si", "H"],
  "fractional_positions": [[0.4022, 0.3564, 0.3267], [0.6804, 0.2976, 0.7647], [0.1688, 0.0651, 0.1051], [0.1419, 0.5449, 0.6559], [0.9753, 0.2009, 0.7419], [0.7868, 0.6438, 0.1154], [0.1667, 0.8362, 0.4631], [0.5340, 0.3362, 0.9631], [0.4540, 0.1438, 0.6154], [0.6610, 0.5651, 0.6051], [0.4239, 0.8828, 0.7814], [0.9146, 0.8564, 0.8267], [0.9119, 0.3828, 0.2814], [0.2573, 0.7976, 0.2647], [0.6458, 0.9223, 0.2958], [0.1360, 0.4223, 0.7958], [0.6573, 0.0449, 0.1559], [0.0818, 0.7009, 0.2419]]
}

=====

7.
{
  "formula": "Rb2NaCoBr6",
  "functional": "PBE-GGA",
  "state": "optimized geometry",
  "dos_at_fermi_per_ev_cell": 0.00,
  "total_energy_ev_per_cell": -31.31,
  "sg": "No. 225",
  "m_tot_mub_per_fu": 0.00,
  "lattice_angstrom": [[7.5987, 0.0000, 0.0000], [0.0000, 7.5987, 0.0000], [3.7993, 3.7993, 5.3726]],
  "species": ["Co", "Br", "Na", "Rb", "Br", "Br", "Br", "Rb", "Br", "Br"],
  "fractional_positions": [[0.0000, 0.0000, 0.0000], [0.2269, 0.2269, 0.5462], [0.5000, 0.5000, 0.0000], [0.7500, 0.2500, 0.5000], [0.2268, 0.7732, 0.0000], [0.2268, 0.2268, 0.0000], [0.7732, 0.7732, 0.0000], [0.2500, 0.7500, 0.5000], [0.7732, 0.2268, 0.0000], [0.7731, 0.7731, 0.4538]]
}

=====

8.
{
  "formula": "Pr4Ni3Sb8",
  "functional": "PBE-GGA",
  "state": "optimized geometry",
  "dos_at_fermi_per_ev_cell": 10.09,
  "total_energy_ev_per_cell": -80.72,
  "sg": "No. 115",
  "m_tot_mub_per_fu": 0.00,
  "lattice_angstrom": [[4.4167, 0.0000, 0.0000], [0.0000, 4.4167, 0.0000], [0.0000, 0.0000, 19.6194]],
  "species": ["Ni", "Pr", "Sb", "Sb", "Sb", "Ni", "Sb", "Sb", "Sb", "Sb", "Sb", "Ni", "Pr", "Pr", "Pr"],
  "fractional_positions": [[0.0000, 0.0000, 0.5000], [0.5000, 0.0000, 0.8827], [0.0000, 0.5000, 0.4341], [0.5000, 0.5000, 0.7517], [0.0000, 0.0000, 0.7518], [0.5000, 0.5000, 0.5000], [0.0000, 0.5000, 0.9390], [0.5000, 0.5000, 0.2483], [0.5000, 0.0000, 0.0610], [0.5000, 0.0000, 0.5659], [0.0000, 0.0000, 0.2482], [0.0000, 0.0000, 0.0000], [0.0000, 0.5000, 0.6220], [0.0000, 0.5000, 0.1173], [0.5000, 0.0000, 0.3780]]
}